1.
A plane-wave DFT calculation with PBEsol was carried out for an optimized crystal structure of SrMgTl2Cd.

abc: 5.493 5.493 6.091
angles: 90.00 90.00 90.00
Fractional positions:
Sr 0.000 0.000 0.000
Mg 0.500 0.500 0.000
Tl 0.000 0.500 0.500
Tl 0.500 0.000 0.500
Cd 0.000 0.000 0.500

Computed properties:
calculated volume: 36.753 A^3/atom
electronic total energy: -8.675 eV/f.u.

---

2.
A plane-wave DFT calculation with PBEsol was carried out for an optimized crystal structure of MgTa2Cd.

abc: 10.338 10.338 10.338
angles: 16.16 16.16 16.16
Fractional positions:
Mg 0.000 0.000 0.000
Ta 0.249 0.249 0.249
Ta 0.751 0.751 0.751
Cd 0.500 0.500 0.500

Computed properties:
energy relative to the lowest polymorph listed for this composition: 2.40 kcal/mol of atoms
calculated volume: 18.646 A^3/atom
electronic total energy: -26.596 eV/f.u.

---

3.
A plane-wave DFT calculation with PBEsol was carried out for an optimized crystal structure of Mg2TaCd.

abc: 2.919 4.380 6.066
angles: 90.00 90.00 90.00
Fractional positions:
Mg 0.000 0.000 0.000
Mg 0.500 0.500 0.262
Ta 0.000 0.000 0.500
Cd 0.500 0.500 0.739

Computed properties:
calculated volume: 19.388 A^3/atom
electronic total energy: -16.053 eV/f.u.

---

4.
A plane-wave DFT calculation with PBEsol was carried out for an optimized crystal structure of Mg2TaCd.

abc: 2.904 2.904 9.172
angles: 90.00 90.00 90.24
Fractional positions:
Mg 0.000 0.000 0.241
Mg 0.000 0.000 0.759
Ta 0.500 0.500 0.000
Cd 0.500 0.500 0.500

Computed properties:
calculated volume: 19.336 A^3/atom
electronic total energy: -16.701 eV/f.u.

---

5.
A plane-wave DFT calculation with PBEsol was carried out for an optimized crystal structure of Mg2TaCd.

abc: 4.786 4.786 4.786
angles: 60.00 60.00 60.00
Fractional positions:
Mg 0.000 0.000 0.000
Mg 0.250 0.250 0.250
Ta 0.500 0.500 0.500
Cd 0.750 0.750 0.750

Computed properties:
calculated volume: 19.382 A^3/atom
electronic total energy: -15.323 eV/f.u.

---

6.
A plane-wave DFT calculation with PBEsol was carried out for an optimized crystal structure of MgTaCd2.

abc: 4.780 4.780 4.780
angles: 60.00 60.00 60.00
Fractional positions:
Mg 0.000 0.000 0.000
Ta 0.250 0.250 0.250
Cd 0.500 0.500 0.500
Cd 0.750 0.750 0.750

Computed properties:
calculated volume: 19.311 A^3/atom
electronic total energy: -14.562 eV/f.u.

---

7.
A plane-wave DFT calculation with PBEsol was carried out for an optimized crystal structure of Mg2TaCd.

abc: 5.210 5.210 5.210
angles: 131.99 131.99 70.25
Fractional positions:
Mg 0.000 0.000 0.000
Mg 0.750 0.250 0.500
Ta 0.500 0.500 0.000
Cd 0.250 0.750 0.500

Computed properties:
calculated volume: 19.145 A^3/atom
electronic total energy: -15.493 eV/f.u.

---

8.
A plane-wave DFT calculation with PBEsol was carried out for an optimized crystal structure of Mg3TaCd.

abc: 4.968 4.968 4.968
angles: 90.00 90.00 90.00
Fractional positions:
Mg 0.000 0.000 0.500
Mg 0.000 0.500 0.000
Mg 0.500 0.000 0.000
Ta 0.500 0.500 0.500
Cd 0.000 0.000 0.000

Computed properties:
calculated volume: 24.520 A^3/atom
electronic total energy: -13.095 eV/f.u.